1.
# ScAlZnGa

ScAlZnGa after structural relaxation (PBE-GGA, the Alexandria database).

Cell lengths 4.043, 4.065, 4.123 Å; angles 90.00, 90.00, 90.00 degrees
Atoms (fractional coordinates):
Al  0.500  0.500  0.000
Zn  0.000  0.000  0.000
Ga  0.000  0.500  0.500
Sc  0.500  0.000  0.500


2.
# Sc4Al2ZnGa

Sc4Al2ZnGa after structural relaxation (PBE-GGA, the Alexandria database).

Cell lengths 4.762, 4.762, 8.246 Å; angles 73.22, 73.22, 60.00 degrees
Atoms (fractional coordinates):
Zn  0.500  0.500  0.500
Ga  0.000  0.000  0.000
Al  0.752  0.752  0.745
Al  0.248  0.248  0.255
Sc  0.375  0.375  0.875
Sc  0.875  0.875  0.375
Sc  0.625  0.625  0.125
Sc  0.125  0.125  0.625


3.
# ZrScAlGa

ZrScAlGa after structural relaxation (PBE-GGA, the Alexandria database).

As for the energy above the most stable polymorph in this dataset: 80 meV/atom.

Cell lengths 4.777, 4.777, 4.777 Å; angles 60.00, 60.00, 60.00 degrees
Atoms (fractional coordinates):
Sc  0.250  0.250  0.250
Zr  0.750  0.750  0.750
Al  0.000  0.000  0.000
Ga  0.500  0.500  0.500


4.
# ZrScAlGa

ZrScAlGa after structural relaxation (PBE-GGA, the Alexandria database).

As for the energy above the most stable polymorph in this dataset: 0 meV/atom.

Cell lengths 3.101, 5.069, 5.091 Å; angles 107.61, 90.00, 90.00 degrees
Atoms (fractional coordinates):
Al  0.500  0.525  0.795
Sc  0.000  0.523  0.294
Zr  0.000  0.024  0.792
Ga  0.500  0.022  0.291


no.,calculated volume (Å³/f.u.),electronic total energy (Ry per atom),formation energy from the elements (kcal/mol of atoms)
1,68,-0.2970,-10.30
2,153,-0.3755,-10.84
3,77,-0.4273,-9.26
4,76,-0.4332,-11.10